[1]
This record from OQMD describes a relaxed PrTcAg crystal. The functional is PBE.

Output
Volume: 25.00 Å³/atom
Electronic total energy: -4.816 eV per atom

abc: 4.7335 4.7335 4.7335
angles: 60.00 60.00 60.00
Element x y z (fractional)
Ag 0.2500 0.2500 0.2500
Pr 0.0000 0.0000 0.0000
Tc 0.7500 0.7500 0.7500


[2]
This record from OQMD describes a relaxed Dy2TmGa3CuAg2 crystal. The functional is PBE.

Output
Volume: 20.23 Å³/atom
Electronic total energy: -4.032 eV per atom

abc: 3.7756 7.4540 7.4540
angles: 119.80 90.00 90.00
Element x y z (fractional)
Ag 0.5000 0.6644 0.3346
Ag 0.5000 0.3346 0.6644
Cu 0.0000 0.0016 0.0016
Dy 0.0000 0.9998 0.6030
Dy 0.0000 0.6030 0.9998
Ga 0.5000 0.2470 0.0012
Ga 0.5000 0.0012 0.2470
Ga 0.5000 0.7534 0.7534
Tm 0.0000 0.3949 0.3949


[3]
This record from OQMD describes a relaxed CsPuNp crystal. The functional is PBE.

Output
Volume: 38.59 Å³/atom
Electronic total energy: -7.609 eV per atom

abc: 5.4706 5.4706 5.4706
angles: 60.00 60.00 60.00
Element x y z (fractional)
Cs 0.7500 0.7500 0.7500
Np 0.2500 0.2500 0.2500
Pu 0.0000 0.0000 0.0000


[4]
This record from OQMD describes a relaxed NaTbBi crystal. The functional is PBE.

Output
Volume: 32.64 Å³/atom
Electronic total energy: -3.667 eV per atom

abc: 5.1737 5.1737 5.1737
angles: 60.00 60.00 60.00
Element x y z (fractional)
Bi 0.0000 0.0000 0.0000
Na 0.2500 0.2500 0.2500
Tb 0.7500 0.7500 0.7500


[5]
This record from OQMD describes a relaxed BaThPb crystal. The functional is PBE.

Output
Volume: 41.23 Å³/atom
Electronic total energy: -4.188 eV per atom

abc: 5.5926 5.5926 5.5926
angles: 60.00 60.00 60.00
Element x y z (fractional)
Ba 0.2500 0.2500 0.2500
Pb 0.0000 0.0000 0.0000
Th 0.7500 0.7500 0.7500


[6]
This record from OQMD describes a relaxed Zr2Tc crystal. The functional is PBE.

Output
ΔE to the lowest computed polymorph: 0.000 eV per atom
Volume: 19.61 Å³/atom
Electronic total energy: -9.427 eV per atom

abc: 14.4357 3.3420 4.8766
angles: 90.00 90.00 90.00
Element x y z (fractional)
Tc 0.6430 0.0000 0.0000
Tc 0.1430 0.5000 0.0000
Tc 0.8014 0.0000 0.5000
Tc 0.3014 0.5000 0.5000
Zr 0.2977 0.0000 0.0000
Zr 0.9943 0.0000 0.0000
Zr 0.4943 0.5000 0.0000
Zr 0.7977 0.5000 0.0000
Zr 0.1467 0.0000 0.5000
Zr 0.4502 0.0000 0.5000
Zr 0.6467 0.5000 0.5000
Zr 0.9502 0.5000 0.5000


[7]
This record from OQMD describes a relaxed Cu21Ag19 crystal. The functional is PBE.

Output
Volume: 14.77 Å³/atom
Electronic total energy: -3.194 eV per atom

abc: 5.5655 9.4873 11.6741
angles: 73.37 89.93 89.94
Element x y z (fractional)
Ag 0.9936 0.4953 0.0007
Ag 0.5040 0.5015 0.0101
Ag 0.4983 0.9948 0.0110
Ag 0.9882 0.6030 0.2010
Ag 0.2487 0.3296 0.2057
Ag 0.2488 0.9637 0.3846
Ag 0.7490 0.9626 0.3913
Ag 0.5118 0.7018 0.3933
Ag 0.2564 0.4457 0.3966
Ag 0.2566 0.0564 0.5917
Ag 0.9875 0.8012 0.5958
Ag 0.9824 0.3040 0.5958
Ag 0.2526 0.5494 0.5982
Ag 0.5085 0.8916 0.8006
Ag 0.2501 0.6473 0.8007
Ag 0.2486 0.1555 0.8030
Ag 0.5136 0.4001 0.8051
Ag 0.7534 0.1495 0.8052
Ag 0.0004 0.8934 0.8108
Cu 0.2391 0.2418 0.0039
Cu 0.7483 0.7525 0.0072
Cu 0.7582 0.2436 0.0086
Cu 0.2492 0.7518 0.0111
Cu 0.9997 0.9930 0.0121
Cu 0.9910 0.0982 0.1879
Cu 0.5136 0.1042 0.1926
Cu 0.5010 0.6116 0.1962
Cu 0.7606 0.8543 0.1988
Cu 0.2398 0.8502 0.1995
Cu 0.7475 0.3369 0.2089
Cu 0.7457 0.4478 0.3957
Cu 0.9976 0.6997 0.3960
Cu 0.9812 0.2053 0.3981
Cu 0.5208 0.2070 0.4015
Cu 0.5081 0.3024 0.5936
Cu 0.7440 0.0551 0.5939
Cu 0.7481 0.5513 0.5975
Cu 0.5059 0.7995 0.5979
Cu 0.7524 0.6458 0.7945
Cu 0.9959 0.4019 0.8034


[8]
This record from OQMD describes a relaxed SiTcAu crystal. The functional is PBE.

Output
ΔE to the lowest computed polymorph: 0.000 eV per atom
Volume: 16.30 Å³/atom
Electronic total energy: -6.375 eV per atom

abc: 4.1049 4.1049 4.1049
angles: 60.00 60.00 60.00
Element x y z (fractional)
Au 0.2500 0.2500 0.2500
Si 0.0000 0.0000 0.0000
Tc 0.7500 0.7500 0.7500


[9]
This record from OQMD describes a relaxed CsRbTm2O4 crystal. The functional is PBE.

Output
Volume: 19.00 Å³/atom
Electronic total energy: -6.299 eV per atom

abc: 3.4583 3.4583 14.6760
angles: 90.00 90.00 120.00
Element x y z (fractional)
Cs 0.3333 0.6667 0.0000
O 0.3333 0.6667 0.1802
O 0.6667 0.3333 0.3280
O 0.6667 0.3333 0.6720
O 0.3333 0.6667 0.8198
Rb 0.6667 0.3333 0.5000
Tm 0.0000 0.0000 0.2542
Tm 0.0000 0.0000 0.7458


[10]
This record from OQMD describes a relaxed FeCuS4 crystal. The functional is PBE.

Output
ΔE to the lowest computed polymorph: 0.436 eV per atom
Volume: 15.64 Å³/atom
Electronic total energy: -4.569 eV per atom

abc: 6.1410 2.4800 6.1636
angles: 90.00 90.60 90.00
Element x y z (fractional)
Cu 0.0000 0.5000 0.5000
Fe 0.5000 0.5000 0.0000
S 0.8339 0.5000 0.1544
S 0.3487 0.5000 0.3297
S 0.6513 0.5000 0.6703
S 0.1661 0.5000 0.8456


[11]
This record from OQMD describes a relaxed B4W6C crystal. The functional is PBE.

Output
Volume: 11.15 Å³/atom
Electronic total energy: -10.580 eV per atom

abc: 6.4172 12.3708 3.0908
angles: 90.00 90.00 90.00
Element x y z (fractional)
B 0.5745 0.0847 0.5000
B 0.3657 0.1903 0.5000
B 0.8657 0.3097 0.5000
B 0.0745 0.4153 0.5000
B 0.9255 0.5847 0.5000
B 0.1343 0.6903 0.5000
B 0.6343 0.8097 0.5000
B 0.4255 0.9153 0.5000
C 0.0000 0.0000 0.0000
C 0.5000 0.5000 0.0000
W 0.3116 0.0520 0.0000
W 0.6392 0.2248 0.0000
W 0.1392 0.2752 0.0000
W 0.8116 0.4480 0.0000
W 0.1884 0.5520 0.0000
W 0.8608 0.7248 0.0000
W 0.3608 0.7752 0.0000
W 0.6884 0.9480 0.0000
W 0.9401 0.1136 0.5000
W 0.4401 0.3864 0.5000
W 0.5599 0.6136 0.5000
W 0.0599 0.8864 0.5000


[12]
This record from OQMD describes a relaxed DyZr crystal. The functional is PBE.

Output
Volume: 27.03 Å³/atom
Electronic total energy: -6.510 eV per atom

abc: 5.8670 6.9075 5.3364
angles: 90.00 90.00 90.00
Element x y z (fractional)
Dy 0.9902 0.0000 0.0000
Dy 0.3499 0.0000 0.5000
Dy 0.8294 0.2656 0.5000
Dy 0.8294 0.7344 0.5000
Zr 0.4936 0.2796 0.0000
Zr 0.0237 0.5000 0.0000
Zr 0.4936 0.7204 0.0000
Zr 0.3235 0.5000 0.5000


> Which value of volume does entry 10 give?

15.64 Å³/atom


> Among the records above, which one has the lowest electronic total energy?

B4W6C